The following is a DFT calculation (PBE) of crystalline Er3TmTh4 at its relaxed geometry.

Geometry as CIF:
```
data_Er3TmTh4
_cell_length_a 8.831
_cell_length_b 8.831
_cell_length_c 8.831
_cell_angle_alpha 157.73
_cell_angle_beta 100.53
_cell_angle_gamma 83.79
_space_group_name_H-M_alt 'P 1'
_space_group_IT_number 1
loop_
_space_group_symop_operation_xyz
'x,y,z'
loop_
_atom_site_label
_atom_site_type_symbol
_atom_site_fract_x
_atom_site_fract_y
_atom_site_fract_z
Er1 Er 0.000 0.000 0.000
Er2 Er 0.266 0.766 0.500
Er3 Er 0.734 0.234 0.500
Tm1 Tm 0.500 0.500 0.000
Th1 Th 0.118 0.371 0.747
Th2 Th 0.376 0.629 0.747
Th3 Th 0.624 0.371 0.253
Th4 Th 0.882 0.629 0.253
```

Computed properties:
- SG = Immm (71)
- VASP energy (eV/atom) = -5.84

=====

The following is a DFT calculation (PBE) of crystalline Er2Tm9Th at its relaxed geometry.

Geometry as CIF:
```
data_Er2Tm9Th
_cell_length_a 4.955
_cell_length_b 4.955
_cell_length_c 14.831
_cell_angle_alpha 90.00
_cell_angle_beta 90.00
_cell_angle_gamma 90.00
_space_group_name_H-M_alt 'P 1'
_space_group_IT_number 1
loop_
_space_group_symop_operation_xyz
'x,y,z'
loop_
_atom_site_label
_atom_site_type_symbol
_atom_site_fract_x
_atom_site_fract_y
_atom_site_fract_z
Er1 Er 0.000 0.000 0.167
Er2 Er 0.000 0.000 0.833
Tm1 Tm 0.000 0.500 0.000
Tm2 Tm 0.000 0.500 0.334
Tm3 Tm 0.000 0.500 0.666
Tm4 Tm 0.500 0.000 0.000
Tm5 Tm 0.500 0.000 0.334
Tm6 Tm 0.500 0.000 0.666
Tm7 Tm 0.500 0.500 0.165
Tm8 Tm 0.500 0.500 0.500
Tm9 Tm 0.500 0.500 0.835
Th1 Th 0.000 0.000 0.500
```

Computed properties:
- SG = P4/mmm (123)
- VASP energy (eV/atom) = -4.70

=====

The following is a DFT calculation (PBE) of crystalline Er2Tm7Th2 at its relaxed geometry.

Geometry as CIF:
```
data_Er2Tm7Th2
_cell_length_a 7.883
_cell_length_b 7.883
_cell_length_c 6.052
_cell_angle_alpha 106.22
_cell_angle_beta 106.22
_cell_angle_gamma 91.63
_space_group_name_H-M_alt 'P 1'
_space_group_IT_number 1
loop_
_space_group_symop_operation_xyz
'x,y,z'
loop_
_atom_site_label
_atom_site_type_symbol
_atom_site_fract_x
_atom_site_fract_y
_atom_site_fract_z
Er1 Er 0.214 0.786 0.000
Er2 Er 0.786 0.214 0.000
Tm1 Tm 0.000 0.000 0.500
Tm2 Tm 0.065 0.588 0.326
Tm3 Tm 0.237 0.237 0.078
Tm4 Tm 0.412 0.935 0.674
Tm5 Tm 0.588 0.065 0.326
Tm6 Tm 0.763 0.763 0.922
Tm7 Tm 0.935 0.412 0.674
Th1 Th 0.414 0.414 0.692
Th2 Th 0.586 0.586 0.308
```

Computed properties:
- polymorph energy (0 for the lowest one) (eV per atom) = 0.0000
- SG = C2/m (12)

=====

The following is a DFT calculation (PBE) of crystalline ErTmTh2 at its relaxed geometry.

Geometry as CIF:
```
data_ErTmTh2
_cell_length_a 11.706
_cell_length_b 11.706
_cell_length_c 11.706
_cell_angle_alpha 17.41
_cell_angle_beta 17.41
_cell_angle_gamma 17.41
_space_group_name_H-M_alt 'P 1'
_space_group_IT_number 1
loop_
_space_group_symop_operation_xyz
'x,y,z'
loop_
_atom_site_label
_atom_site_type_symbol
_atom_site_fract_x
_atom_site_fract_y
_atom_site_fract_z
Er1 Er 0.000 0.000 0.000
Tm1 Tm 0.170 0.170 0.170
Th1 Th 0.419 0.419 0.419
Th2 Th 0.585 0.585 0.585
```

Computed properties:
- polymorph energy (0 for the lowest one) (eV per atom) = 0.0077
- SG = R3m (160)

=====

The following is a DFT calculation (PBE) of crystalline ErTm4Th6 at its relaxed geometry.

Geometry as CIF:
```
data_ErTm4Th6
_cell_length_a 9.962
_cell_length_b 9.962
_cell_length_c 9.962
_cell_angle_alpha 142.53
_cell_angle_beta 142.53
_cell_angle_gamma 54.03
_space_group_name_H-M_alt 'P 1'
_space_group_IT_number 1
loop_
_space_group_symop_operation_xyz
'x,y,z'
loop_
_atom_site_label
_atom_site_type_symbol
_atom_site_fract_x
_atom_site_fract_y
_atom_site_fract_z
Er1 Er 0.000 0.000 0.000
Tm1 Tm 0.191 0.191 0.634
Tm2 Tm 0.443 0.809 0.000
Tm3 Tm 0.557 0.557 0.366
Tm4 Tm 0.809 0.443 0.000
Th1 Th 0.000 0.000 0.625
Th2 Th 0.000 0.500 0.500
Th3 Th 0.000 0.626 0.000
Th4 Th 0.374 0.374 0.375
Th5 Th 0.500 0.000 0.500
Th6 Th 0.626 0.000 0.000
```

Computed properties:
- SG = I-42m (121)
- VASP energy (eV/atom) = -5.67

=====

The following is a DFT calculation (PBE) of crystalline ErTm7Th2 at its relaxed geometry.

Geometry as CIF:
```
data_ErTm7Th2
_cell_length_a 9.372
_cell_length_b 9.372
_cell_length_c 5.400
_cell_angle_alpha 90.00
_cell_angle_beta 90.00
_cell_angle_gamma 125.40
_space_group_name_H-M_alt 'P 1'
_space_group_IT_number 1
loop_
_space_group_symop_operation_xyz
'x,y,z'
loop_
_atom_site_label
_atom_site_type_symbol
_atom_site_fract_x
_atom_site_fract_y
_atom_site_fract_z
Er1 Er 0.000 0.000 0.000
Tm1 Tm 0.067 0.284 0.500
Tm2 Tm 0.201 0.799 0.000
Tm3 Tm 0.284 0.067 0.500
Tm4 Tm 0.500 0.500 0.500
Tm5 Tm 0.716 0.933 0.500
Tm6 Tm 0.799 0.201 0.000
Tm7 Tm 0.933 0.716 0.500
Th1 Th 0.295 0.705 0.500
Th2 Th 0.705 0.295 0.500
```

Computed properties:
- polymorph energy (0 for the lowest one) (eV per atom) = 0.4409
- SG = Cmmm (65)

=====

The following is a DFT calculation (PBE) of crystalline Er7Tm2Th at its relaxed geometry.

Geometry as CIF:
```
data_Er7Tm2Th
_cell_length_a 9.353
_cell_length_b 9.353
_cell_length_c 5.306
_cell_angle_alpha 90.00
_cell_angle_beta 90.00
_cell_angle_gamma 124.73
_space_group_name_H-M_alt 'P 1'
_space_group_IT_number 1
loop_
_space_group_symop_operation_xyz
'x,y,z'
loop_
_atom_site_label
_atom_site_type_symbol
_atom_site_fract_x
_atom_site_fract_y
_atom_site_fract_z
Er1 Er 0.000 0.000 0.000
Er2 Er 0.213 0.434 0.000
Er3 Er 0.299 0.701 0.500
Er4 Er 0.434 0.213 0.000
Er5 Er 0.566 0.787 0.000
Er6 Er 0.701 0.299 0.500
Er7 Er 0.787 0.566 0.000
Tm1 Tm 0.202 0.798 0.000
Tm2 Tm 0.798 0.202 0.000
Th1 Th 0.500 0.500 0.500
```

Computed properties:
- SG = Cmmm (65)
- VASP energy (eV/atom) = -4.09

=====

The following is a DFT calculation (PBE) of crystalline Er3TmTh at its relaxed geometry.

Geometry as CIF:
```
data_Er3TmTh
_cell_length_a 6.185
_cell_length_b 6.671
_cell_length_c 9.115
_cell_angle_alpha 108.16
_cell_angle_beta 90.13
_cell_angle_gamma 117.51
_space_group_name_H-M_alt 'P 1'
_space_group_IT_number 1
loop_
_space_group_symop_operation_xyz
'x,y,z'
loop_
_atom_site_label
_atom_site_type_symbol
_atom_site_fract_x
_atom_site_fract_y
_atom_site_fract_z
Er1 Er 0.072 0.300 0.045
Er2 Er 0.264 0.704 0.447
Er3 Er 0.337 0.501 0.745
Er4 Er 0.663 0.499 0.255
Er5 Er 0.736 0.296 0.553
Er6 Er 0.928 0.700 0.955
Tm1 Tm 0.464 0.097 0.850
Tm2 Tm 0.536 0.903 0.150
Th1 Th 0.121 0.097 0.347
Th2 Th 0.879 0.903 0.653
```

Computed properties:
- polymorph energy (0 for the lowest one) (eV per atom) = 0.0000
- SG = P-1 (2)

=====

The following is a DFT calculation (PBE) of crystalline ErTm12Th5 at its relaxed geometry.

Geometry as CIF:
```
data_ErTm12Th5
_cell_length_a 6.132
_cell_length_b 6.132
_cell_length_c 17.109
_cell_angle_alpha 93.42
_cell_angle_beta 93.42
_cell_angle_gamma 120.02
_space_group_name_H-M_alt 'P 1'
_space_group_IT_number 1
loop_
_space_group_symop_operation_xyz
'x,y,z'
loop_
_atom_site_label
_atom_site_type_symbol
_atom_site_fract_x
_atom_site_fract_y
_atom_site_fract_z
Er1 Er 0.000 0.000 0.000
Tm1 Tm 0.055 0.390 0.165
Tm2 Tm 0.112 0.112 0.333
Tm3 Tm 0.221 0.555 0.666
Tm4 Tm 0.280 0.280 0.835
Tm5 Tm 0.390 0.055 0.165
Tm6 Tm 0.445 0.779 0.334
Tm7 Tm 0.555 0.221 0.666
Tm8 Tm 0.610 0.945 0.835
Tm9 Tm 0.720 0.720 0.165
Tm10 Tm 0.779 0.445 0.334
Tm11 Tm 0.888 0.888 0.667
Tm12 Tm 0.945 0.610 0.835
Th1 Th 0.166 0.834 0.500
Th2 Th 0.333 0.667 0.000
Th3 Th 0.500 0.500 0.500
Th4 Th 0.667 0.333 0.000
Th5 Th 0.834 0.166 0.500
```

Computed properties:
- SG = C2/m (12)
- VASP energy (eV/atom) = -5.29

=====

The following is a DFT calculation (PBE) of crystalline Er5Tm3Th2 at its relaxed geometry.

Geometry as CIF:
```
data_Er5Tm3Th2
_cell_length_a 9.818
_cell_length_b 9.818
_cell_length_c 8.992
_cell_angle_alpha 108.38
_cell_angle_beta 108.38
_cell_angle_gamma 114.99
_space_group_name_H-M_alt 'P 1'
_space_group_IT_number 1
loop_
_space_group_symop_operation_xyz
'x,y,z'
loop_
_atom_site_label
_atom_site_type_symbol
_atom_site_fract_x
_atom_site_fract_y
_atom_site_fract_z
Er1 Er 0.026 0.974 0.750
Er2 Er 0.120 0.375 0.751
Er3 Er 0.277 0.723 0.250
Er4 Er 0.375 0.120 0.251
Er5 Er 0.469 0.531 0.250
Er6 Er 0.531 0.469 0.750
Er7 Er 0.625 0.880 0.749
Er8 Er 0.723 0.277 0.750
Er9 Er 0.880 0.625 0.249
Er10 Er 0.974 0.026 0.250
Tm1 Tm 0.022 0.273 0.045
Tm2 Tm 0.218 0.782 0.750
Tm3 Tm 0.273 0.022 0.545
Tm4 Tm 0.727 0.978 0.455
Tm5 Tm 0.782 0.218 0.250
Tm6 Tm 0.978 0.727 0.955
Th1 Th 0.237 0.489 0.477
Th2 Th 0.489 0.237 0.977
Th3 Th 0.511 0.763 0.023
Th4 Th 0.763 0.511 0.523
```

Computed properties:
- SG = C2/c (15)
- VASP energy (eV/atom) = -4.89

=====

The following is a DFT calculation (PBE) of crystalline Er3Tm4Th5 at its relaxed geometry.

Geometry as CIF:
```
data_Er3Tm4Th5
_cell_length_a 8.459
_cell_length_b 8.459
_cell_length_c 9.256
_cell_angle_alpha 114.74
_cell_angle_beta 114.74
_cell_angle_gamma 40.92
_space_group_name_H-M_alt 'P 1'
_space_group_IT_number 1
loop_
_space_group_symop_operation_xyz
'x,y,z'
loop_
_atom_site_label
_atom_site_type_symbol
_atom_site_fract_x
_atom_site_fract_y
_atom_site_fract_z
Er1 Er 0.000 0.000 0.000
Er2 Er 0.210 0.210 0.872
Er3 Er 0.790 0.790 0.128
Tm1 Tm 0.210 0.210 0.230
Tm2 Tm 0.428 0.428 0.307
Tm3 Tm 0.572 0.572 0.693
Tm4 Tm 0.790 0.790 0.770
Th1 Th 0.083 0.083 0.439
Th2 Th 0.328 0.328 0.616
Th3 Th 0.500 0.500 0.000
Th4 Th 0.672 0.672 0.384
Th5 Th 0.917 0.917 0.561
```

Computed properties:
- SG = C2/m (12)
- VASP energy (eV/atom) = -5.45

=====

The following is a DFT calculation (PBE) of crystalline Er2Tm12Th at its relaxed geometry.

Geometry as CIF:
```
data_Er2Tm12Th
_cell_length_a 6.324
_cell_length_b 6.324
_cell_length_c 24.559
_cell_angle_alpha 90.00
_cell_angle_beta 90.00
_cell_angle_gamma 90.00
_space_group_name_H-M_alt 'P 1'
_space_group_IT_number 1
loop_
_space_group_symop_operation_xyz
'x,y,z'
loop_
_atom_site_label
_atom_site_type_symbol
_atom_site_fract_x
_atom_site_fract_y
_atom_site_fract_z
Er1 Er 0.250 0.750 0.221
Er2 Er 0.250 0.750 0.779
Er3 Er 0.750 0.250 0.221
Er4 Er 0.750 0.250 0.779
Tm1 Tm 0.001 0.501 0.389
Tm2 Tm 0.001 0.999 0.611
Tm3 Tm 0.081 0.581 0.939
Tm4 Tm 0.081 0.919 0.061
Tm5 Tm 0.250 0.250 0.159
Tm6 Tm 0.250 0.250 0.285
Tm7 Tm 0.250 0.250 0.715
Tm8 Tm 0.250 0.250 0.841
Tm9 Tm 0.419 0.581 0.061
Tm10 Tm 0.419 0.919 0.939
Tm11 Tm 0.499 0.501 0.611
Tm12 Tm 0.499 0.999 0.389
Tm13 Tm 0.501 0.001 0.611
Tm14 Tm 0.501 0.499 0.389
Tm15 Tm 0.581 0.081 0.061
Tm16 Tm 0.581 0.419 0.939
Tm17 Tm 0.750 0.750 0.159
Tm18 Tm 0.750 0.750 0.285
Tm19 Tm 0.750 0.750 0.715
Tm20 Tm 0.750 0.750 0.841
Tm21 Tm 0.919 0.081 0.939
Tm22 Tm 0.919 0.419 0.061
Tm23 Tm 0.999 0.001 0.389
Tm24 Tm 0.999 0.499 0.611
Th1 Th 0.250 0.750 0.500
Th2 Th 0.750 0.250 0.500
```

Computed properties:
- SG = P4/nbm (125)
- VASP energy (eV/atom) = -4.28